## InI2BrN (PBEsol)

Data for InI2BrN after structural relaxation.

## Properties
Calculated volume ... 31.13 Å³ per atom
Total moment ... 0.00 μB/f.u.
ΔE_f (raw) ... 0.8267 eV per atom
Crystal system ... tetragonal
N(E_F) ... 0.84 states/eV per atom

Lattice parameters (Å, degrees): 3.6540 6.5265 6.5265 90.00 90.00 90.00
Element x y z (fractional)
I 0.0000 0.0000 0.5000
I 0.0000 0.5000 0.0000
N 0.5000 0.0000 0.0000
Br 0.0000 0.0000 0.0000
In 0.5000 0.5000 0.5000

=====

## InIBrN2 (PBEsol)

Data for InIBrN2 after structural relaxation.

## Properties
Calculated volume ... 23.67 Å³ per atom
Total moment ... 3.36 μB/f.u.
ΔE_f (raw) ... 1.3654 eV per atom
Crystal system ... tetragonal
N(E_F) ... 0.48 states/eV per atom

Lattice parameters (Å, degrees): 4.2963 4.2963 6.4126 90.00 90.00 90.00
Last column: magnetic moment on the atom in μB.
Element x y z (fractional)
I 0.0000 0.0000 0.5000  0.05
N 0.0000 0.5000 0.0000  1.11
N 0.5000 0.0000 0.0000  1.11
Br 0.5000 0.5000 0.5000  0.03
In 0.0000 0.0000 0.0000  -0.04